A plane-wave DFT calculation with PBE was carried out for Tm2LuTl after structural relaxation.

a = 4.7891 Å, b = 4.7749 Å, c = 4.7749 Å
α = 90.00°, β = 90.00°, γ = 90.00°
Last column: magnetic moment on the atom in μB.
Fractional coordinates of all 4 atoms:
1 Tl 0.5000 0.0000 0.0000  -0.01
2 Tm 0.0000 0.0000 0.5000  0.10
3 Tm 0.0000 0.5000 0.0000  0.10
4 Lu 0.5000 0.5000 0.5000  0.09

Results
Uncorrected energy: -4.111 eV per atom
Energy above the most stable polymorph in this dataset: 0.004 eV/atom
Energy relative to the elements: -154 meV per atom

A plane-wave DFT calculation with PBE was carried out for YTmLuTl after structural relaxation.

a = 5.4178 Å, b = 5.4178 Å, c = 5.4178 Å
α = 60.00°, β = 60.00°, γ = 60.00°
Last column: magnetic moment on the atom in μB.
Fractional coordinates of all 4 atoms:
1 Tl 0.7500 0.7500 0.7500  0.00
2 Lu 0.2500 0.2500 0.2500  -0.27
3 Y 0.0000 0.0000 0.0000  -0.21
4 Tm 0.5000 0.5000 0.5000  -0.27

Results
Uncorrected energy: -4.486 eV per atom
Energy relative to the elements: -30 meV per atom

A plane-wave DFT calculation with PBE was carried out for YLuTl2 after structural relaxation.

a = 5.3323 Å, b = 5.3323 Å, c = 5.3323 Å
α = 60.00°, β = 60.00°, γ = 60.00°
Fractional coordinates of all 4 atoms:
1 Y 0.0000 0.0000 0.0000
2 Tl 0.2500 0.2500 0.2500
3 Tl 0.7500 0.7500 0.7500
4 Lu 0.5000 0.5000 0.5000

Results
Uncorrected energy: -4.246 eV per atom
Energy relative to the elements: -317 meV per atom

A plane-wave DFT calculation with PBE was carried out for Y2LuTl after structural relaxation.

a = 3.6019 Å, b = 3.6019 Å, c = 9.1308 Å
α = 90.00°, β = 90.00°, γ = 90.00°
Fractional coordinates of all 4 atoms:
1 Y 0.0000 0.0000 0.2326
2 Y 0.0000 0.0000 0.7674
3 Tl 0.5000 0.5000 0.0000
4 Lu 0.5000 0.5000 0.5000

Results
Uncorrected energy: -5.124 eV per atom
Energy above the most stable polymorph in this dataset: 0.007 eV/atom
Energy relative to the elements: -170 meV per atom

A plane-wave DFT calculation with PBE was carried out for Y2LuTl after structural relaxation.

a = 5.4469 Å, b = 5.4469 Å, c = 5.4469 Å
α = 60.00°, β = 60.00°, γ = 60.00°
Last column: magnetic moment on the atom in μB.
Fractional coordinates of all 4 atoms:
1 Y 0.7500 0.7500 0.7500  0.23
2 Y 0.2500 0.2500 0.2500  0.23
3 Tl 0.0000 0.0000 0.0000  0.00
4 Lu 0.5000 0.5000 0.5000  0.31

Results
Uncorrected energy: -5.011 eV per atom
Energy above the most stable polymorph in this dataset: 0.120 eV/atom
Energy relative to the elements: -57 meV per atom

A plane-wave DFT calculation with PBE was carried out for YLuTl2 after structural relaxation.

a = 3.7559 Å, b = 3.7559 Å, c = 7.5657 Å
α = 90.00°, β = 90.00°, γ = 90.00°
Fractional coordinates of all 4 atoms:
1 Tl 0.0000 0.0000 0.2433
2 Tl 0.0000 0.0000 0.7567
3 Y 0.5000 0.5000 0.5000
4 Lu 0.5000 0.5000 0.0000

Results
Uncorrected energy: -4.246 eV per atom
Energy relative to the elements: -317 meV per atom

A plane-wave DFT calculation with PBE was carried out for Y2LuTl after structural relaxation.

a = 4.8306 Å, b = 4.8373 Å, c = 4.8373 Å
α = 90.00°, β = 90.00°, γ = 90.00°
Last column: magnetic moment on the atom in μB.
Fractional coordinates of all 4 atoms:
1 Y 0.0000 0.5000 0.0000  0.23
2 Y 0.0000 0.0000 0.5000  0.23
3 Tl 0.5000 0.0000 0.0000  -0.01
4 Lu 0.5000 0.5000 0.5000  0.25

Results
Uncorrected energy: -5.131 eV per atom
Energy above the most stable polymorph in this dataset: 0.000 eV/atom
Energy relative to the elements: -177 meV per atom

A plane-wave DFT calculation with PBE was carried out for YLuTlZn after structural relaxation.

a = 5.1806 Å, b = 5.1806 Å, c = 5.1806 Å
α = 60.00°, β = 60.00°, γ = 60.00°
Fractional coordinates of all 4 atoms:
1 Tl 0.5000 0.5000 0.5000
2 Lu 0.2500 0.2500 0.2500
3 Zn 0.0000 0.0000 0.0000
4 Y 0.7500 0.7500 0.7500

Results
Uncorrected energy: -3.973 eV per atom
Energy relative to the elements: -317 meV per atom

A plane-wave DFT calculation with PBE was carried out for Lu2TlZn after structural relaxation.

a = 3.5947 Å, b = 3.5947 Å, c = 7.2972 Å
α = 90.00°, β = 90.00°, γ = 90.00°
Fractional coordinates of all 4 atoms:
1 Lu 0.0000 0.0000 0.7715
2 Lu 0.0000 0.0000 0.2285
3 Zn 0.5000 0.5000 0.0000
4 Tl 0.5000 0.5000 0.5000

Results
Uncorrected energy: -3.482 eV per atom
Energy relative to the elements: -312 meV per atom

A plane-wave DFT calculation with PBE was carried out for Lu2TlZn after structural relaxation.

a = 3.5833 Å, b = 3.5833 Å, c = 9.4018 Å
α = 79.01°, β = 79.01°, γ = 60.00°
Fractional coordinates of all 4 atoms:
1 Lu 0.2565 0.2565 0.2306
2 Lu 0.7435 0.7435 0.7694
3 Tl 0.5000 0.5000 0.5000
4 Zn 0.0000 0.0000 0.0000

Results
Uncorrected energy: -3.357 eV per atom
Energy relative to the elements: -186 meV per atom

A plane-wave DFT calculation with PBE was carried out for LuTlZn4 after structural relaxation.

a = 5.4732 Å, b = 5.4732 Å, c = 5.4732 Å
α = 60.00°, β = 60.00°, γ = 60.00°
Fractional coordinates of all 6 atoms:
1 Lu 0.2500 0.2500 0.2500
2 Zn 0.6240 0.6240 0.1281
3 Zn 0.6240 0.1281 0.6240
4 Zn 0.1281 0.6240 0.6240
5 Zn 0.6240 0.6240 0.6240
6 Tl 0.0000 0.0000 0.0000

Results
Uncorrected energy: -2.079 eV per atom
Energy relative to the elements: -82 meV per atom

A plane-wave DFT calculation with PBE was carried out for LuTlZn2 after structural relaxation.

a = 3.6522 Å, b = 3.6522 Å, c = 6.6348 Å
α = 90.00°, β = 90.00°, γ = 90.00°
Fractional coordinates of all 4 atoms:
1 Tl 0.5000 0.5000 0.5000
2 Zn 0.0000 0.0000 0.7687
3 Zn 0.0000 0.0000 0.2313
4 Lu 0.5000 0.5000 0.0000

Results
Uncorrected energy: -2.441 eV per atom
Energy above the most stable polymorph in this dataset: 0.082 eV/atom
Energy relative to the elements: -82 meV per atom

The records above give, respectively, V values of 109.2, 112.4, 107.2, 118.5, 114.3, 106.7, 113.0, 98.3, 94.3, 102.0, 115.9, 88.5 Å³/cell.